(1)
The following is a PBE-GGA calculation of a relaxed structure of ScBeNi2, from the Alexandria database.

- DFT total energy (eV per atom) = -5.6511
- energy of formation (eV/atom) = -0.246
- magnetic moment (μB per cell) = 0.0

Unit cell a=3.9321 b=3.9304 c=3.2794 alpha=90.00 beta=90.00 gamma=90.00
Positions (direct):
Be1 0.0000 0.5000 0.5000
Ni1 0.5000 0.5000 0.0000
Ni2 0.0000 0.0000 0.0000
Sc1 0.5000 0.0000 0.5000

(2)
The following is a PBE-GGA calculation of a relaxed structure of Sc8BeNi2, from the Alexandria database.

- DFT total energy (eV per atom) = -6.1132
- energy of formation (eV/atom) = -0.119
- magnetic moment (μB per cell) = 0.0

Unit cell a=3.3289 b=8.1875 c=10.2963 alpha=125.10 beta=99.30 gamma=90.00
Positions (direct):
Sc1 0.8733 0.8900 0.7465
Sc2 0.3517 0.1885 0.7033
Sc3 0.9752 0.6769 0.9504
Sc4 0.6483 0.8115 0.2967
Sc5 0.1267 0.1100 0.2535
Sc6 0.3134 0.4982 0.6268
Sc7 0.0248 0.3231 0.0496
Sc8 0.6866 0.5018 0.3732
Ni1 0.7514 0.2069 0.5028
Ni2 0.2486 0.7931 0.4972
Be1 0.5000 0.0000 0.0000

(3)
The following is a PBE-GGA calculation of a relaxed structure of ScBeNi2, from the Alexandria database.

- DFT total energy (eV per atom) = -5.9054
- energy of formation (eV/atom) = -0.500
- magnetic moment (μB per cell) = 0.0

Unit cell a=4.9228 b=4.9228 c=7.6695 alpha=71.28 beta=71.28 gamma=60.00
Positions (direct):
Be1 0.5000 0.5000 0.5000
Be2 0.6675 0.6675 0.9975
Be3 0.3325 0.3325 0.0025
Ni1 0.4201 0.9189 0.2408
Ni2 0.0811 0.5799 0.7592
Ni3 0.9189 0.4201 0.2408
Ni4 0.4201 0.4201 0.2408
Ni5 0.5799 0.5799 0.7592
Ni6 0.5799 0.0811 0.7592
Sc1 0.1412 0.1412 0.5763
Sc2 0.8588 0.8588 0.4237
Sc3 0.0000 0.0000 0.0000